DFT (PBE-GGA) results for a relaxed AcPmGeO5 crystal.

Cell: 6.1492 6.1492 7.7863 Å, 101.43 101.43 108.35°
Last column: nearest neighbours and their distance in Å.
Fractional coordinates of all 16 atoms:
Ac 0.1626 0.8374 0.7500  1 O 2.29
Ac 0.8374 0.1626 0.2500  1 O 2.29
Pm 0.5000 0.5000 0.0000  6 O 2.22-2.43
Pm 0.5000 0.5000 0.5000  6 O 2.22-2.43
Ge 0.1791 0.8209 0.2500  4 O 1.79
Ge 0.8209 0.1791 0.7500  4 O 1.79
O 0.0892 0.2258 0.9180  1 Ge 1.79
O 0.1643 0.5932 0.3644  1 Ge 1.79
O 0.2258 0.0892 0.4180  1 Ge 1.79
O 0.3920 0.6080 0.7500  2 Pm 2.22, 1 Ac 2.29
O 0.4068 0.8357 0.1356  1 Ge 1.79
O 0.5932 0.1643 0.8644  1 Ge 1.79
O 0.6080 0.3920 0.2500  2 Pm 2.22, 1 Ac 2.29
O 0.7742 0.9108 0.5820  1 Ge 1.79
O 0.8357 0.4068 0.6356  1 Ge 1.79
O 0.9108 0.7742 0.0820  1 Ge 1.79

Computed properties:
uncorrected formation energy = -22.31 eV per formula unit
calculated volume = 16.43 A^3/atom
size of the total moment = 0.00 μB per formula unit

---

DFT (PBE-GGA) results for a relaxed Tm2HfPaP4 crystal.

Cell: 6.7021 3.8851 6.7424 Å, 90.00 109.28 90.00°
Last column: nearest neighbours and their distance in Å.
Fractional coordinates of all 8 atoms:
Tm 0.0000 0.0000 0.0000  6 P 2.74-2.75
Tm 0.5000 0.5000 0.0000  6 P 2.80-2.81
Hf 0.0000 0.5000 0.5000  6 P 2.68-2.69
Pa 0.5000 0.0000 0.5000  6 P 2.74-2.76
P 0.2399 0.0000 0.7395  2 Hf 2.69, 1 Pa 2.74, 3 Tm 2.75-2.81
P 0.2425 0.5000 0.2533  1 Hf 2.68, 3 Tm 2.74-2.80, 2 Pa 2.76
P 0.7575 0.5000 0.7467  1 Hf 2.68, 3 Tm 2.74-2.80, 2 Pa 2.76
P 0.7601 0.0000 0.2605  2 Hf 2.69, 1 Pa 2.74, 3 Tm 2.75-2.81

Computed properties:
calculated volume = 20.71 A^3/atom
E_form = -1.436 eV per atom
size of the total moment = 0.00 μB per formula unit